# 1
{"formula": "KZn2Si", "functional": "PBE", "state": "relaxed", "formation_energy_uncorrected_ev_per_atom": 0.26, "lattice_angstrom": [[-0.4638, 0.9334, -3.1373], [1.6707, -2.6573, -1.0376], [-6.7627, -4.1590, -0.2377]], "species": ["Si", "Zn", "Zn", "K"], "frac_coords": [[0.5000, 0.5000, 0.8256], [0.0000, 0.0000, 0.9918], [0.5000, 0.5000, 0.1770], [0.0000, 0.0000, 0.5056]]}

***

# 2
{"formula": "Pr3Zn4Ir2", "functional": "PBE", "state": "relaxed", "e_form_ev_per_atom": -0.4864, "lattice_angstrom": [[4.1606, 0.0000, 1.1099], [1.6924, 5.4527, 2.0091], [-0.0954, 0.2406, 8.7111]], "species": ["Pr", "Zn", "Zn", "Zn", "Zn", "Pr", "Ir", "Ir", "Pr"], "frac_coords": [[0.0000, 0.0000, 0.0000], [0.9662, 0.6957, 0.3718], [0.0338, 0.3043, 0.6282], [0.7187, 0.6166, 0.9460], [0.2813, 0.3834, 0.0540], [0.3158, 0.7217, 0.6466], [0.3923, 0.9469, 0.2685], [0.6077, 0.0531, 0.7315], [0.6842, 0.2783, 0.3534]]}

***

# 3
{"formula": "AlReS2N", "functional": "PBE", "state": "relaxed", "formation_energy_uncorrected_ev_per_atom": 0.23, "lattice_angstrom": [[-2.1585, 3.4999, 2.5034], [-2.9670, 0.8180, -3.7018], [-2.4209, -2.4877, 1.3906]], "species": ["S", "Re", "N", "S", "Al"], "frac_coords": [[0.5000, 0.0000, 0.0000], [0.0000, 0.0000, 0.0000], [0.0000, 0.0000, 0.5000], [0.0000, 0.5000, 0.0000], [0.5000, 0.5000, 0.5000]]}

***

# 4
{"formula": "Ca3SeF", "functional": "PBE", "state": "relaxed", "formation_energy_uncorrected_ev_per_atom": -1.23, "lattice_angstrom": [[5.0126, 0.0000, 0.0000], [0.0000, 5.0126, 0.0000], [0.0000, 0.0000, 5.0126]], "species": ["Se", "Ca", "Ca", "F", "Ca"], "frac_coords": [[0.5000, 0.5000, 0.5000], [0.0000, 0.0000, 0.5000], [0.5000, 0.0000, 0.0000], [0.0000, 0.0000, 0.0000], [0.0000, 0.5000, 0.0000]]}

***

# 5
{"formula": "Zn2HgHOs", "functional": "PBE", "state": "relaxed", "dft_energy_ev_per_cell": -11.9, "lattice_angstrom": [[-1.0013, -1.1335, 4.7961], [-2.5709, -1.7457, -0.9493], [2.9078, -4.0873, -0.3589]], "species": ["H", "Os", "Hg", "Zn", "Zn"], "frac_coords": [[0.0000, 0.5000, 0.0000], [0.5000, 0.5000, 0.5000], [0.0000, 0.0000, 0.0000], [0.5000, 0.0000, 0.0000], [0.0000, 0.0000, 0.5000]]}

***

# 6
{"formula": "Tl2InPt", "functional": "PBE", "state": "relaxed", "e_form_ev_per_atom": 0.0502, "lattice_angstrom": [[-6.3542, -0.8774, -5.1072], [-6.9370, -3.6931, -2.3383], [-8.0382, 0.0752, -1.6157]], "species": ["Pt", "Tl", "Tl", "In"], "frac_coords": [[0.7500, 0.7500, 0.7500], [0.4844, 0.4844, 0.4844], [0.0156, 0.0156, 0.0156], [0.2500, 0.2500, 0.2500]]}

***

# 7
{"formula": "B2PdAu", "functional": "PBE", "state": "relaxed", "e_form_ev_per_atom": 0.9470, "lattice_angstrom": [[-2.1912, -1.5031, 3.0253], [-1.9653, 2.4811, 2.4889], [-4.0190, 0.2108, -0.1267]], "species": ["Au", "B", "B", "Pd"], "frac_coords": [[0.5000, 0.5000, 0.5000], [0.2500, 0.2500, 0.2500], [0.7500, 0.7500, 0.7500], [0.0000, 0.0000, 0.0000]]}

***

# 8
{"formula": "KAlCd2Pd", "functional": "PBE", "state": "relaxed", "e_form_ev_per_atom": -0.1750, "lattice_angstrom": [[5.3288, 0.0000, 0.0000], [0.0000, 5.3288, 0.0000], [0.0000, 0.0000, 4.8049]], "species": ["Cd", "Al", "Pd", "K", "Cd"], "frac_coords": [[0.0000, 0.5000, 0.0000], [0.0000, 0.0000, 0.5000], [0.0000, 0.0000, 0.0000], [0.5000, 0.5000, 0.5000], [0.5000, 0.0000, 0.0000]]}

***

no.,total moment (μB per atom),DOS at the Fermi energy (states/eV per cell)
1,0.00,0.8
2,0.00,5.1
3,0.00,3.2
4,0.40,6.2
5,0.16,3.3
6,0.00,1.5
7,0.00,1.5
8,0.00,1.8